Below is a geometry-optimized BRh structure, with properties calculated at the PBE level.

Cell lengths 6.6495, 8.6360, 9.4670 Å; angles 90.00, 90.00, 90.00 degrees
Space group Fddd (No. 70, origin choice 2)
One atom of each set of equivalent atoms:
B1 0.1250 0.3042 0.1250 (multiplicity 16)
Rh1 0.1250 0.1250 0.2704 (multiplicity 16)

## Properties
Its energy of formation is 0.41 eV/f.u. As for the density of states at the Fermi level: 11.25 states/eV/cell. The density comes out at 5.6 g/cm³. The magnetization comes out at 0.00 μB per formula unit.


Below is a geometry-optimized YGe3Os structure, with properties calculated at the PBE level.

Cell lengths 5.2375, 5.2375, 5.2375 Å; angles 90.00, 90.00, 90.00 degrees
Space group Pm-3m (No. 221)
One atom of each set of equivalent atoms:
Y1 0.0000 0.0000 0.0000 (multiplicity 1)
Ge1 0.0000 0.0000 0.5000 (multiplicity 3)
Os1 0.5000 0.5000 0.5000 (multiplicity 1)

## Properties
Its energy of formation is 9.50 eV/f.u. As for the density of states at the Fermi level: 4.58 states/eV/cell. The density comes out at 5.7 g/cm³. The magnetization comes out at 2.81 μB per formula unit.


Below is a geometry-optimized ScAs2HW structure, with properties calculated at the PBE level.

Cell lengths 4.9065, 4.9065, 3.5598 Å; angles 90.00, 90.00, 90.00 degrees
Space group P4/mmm (No. 123)
One atom of each set of equivalent atoms:
Sc1 0.0000 0.0000 0.0000 (multiplicity 1)
As1 0.0000 0.5000 0.5000 (multiplicity 2)
H1 0.5000 0.5000 0.0000 (multiplicity 1)
W1 0.5000 0.5000 0.5000 (multiplicity 1)

## Properties
As for the density of states at the Fermi level: 3.47 states/eV/cell. For the total energy, the calculation gives -0.237 Ha/atom. The density comes out at 7.4 g/cm³. The magnetization comes out at 0.00 μB per formula unit.